No. 1
The following is a DFT calculation (PBEsol) of TiMnTl2Re after structural relaxation.

- electronic total energy (eV per atom) = -5.52
- energy of formation (kJ/mol of atoms) = 175

Cell: 4.1144 5.1507 5.1507 Å, 90.00 90.00 90.00°
Closest atoms and distances in Å follow each position.
Positions (direct):
1 Ti 0.0000 0.0000 0.0000  2 Mn 2.06
2 Tl 0.0000 0.5000 0.0000  2 Ti 2.58
3 Tl 0.0000 0.0000 0.5000  2 Ti 2.58
4 Mn 0.5000 0.0000 0.0000  2 Ti 2.06
5 Re 0.5000 0.5000 0.5000  8 Tl 3.30, 4 Mn 3.64

***

No. 2
The following is a DFT calculation (PBEsol) of LiMnSiO4 after structural relaxation.

- E_form (uncorrected) (eV per atom) = -2.24
- excess energy over the best structure of this formula in the dataset (eV/f.u.) = 0.00
- electronic total energy (eV per atom) = -7.74

Cell: 4.7502 5.9022 9.8618 Å, 90.00 90.00 90.00°
Closest atoms and distances in Å follow each position.
Positions (direct):
1 O 0.0217 0.1877 0.3768  1 Si 1.66
2 O 0.4783 0.6877 0.0291  1 Si 1.66
3 O 0.9702 0.4879 0.0997  1 Si 1.62
4 O 0.9783 0.8123 0.8768  1 Si 1.66
5 O 0.4350 0.4852 0.2647  1 Si 1.64
6 O 0.0298 0.5121 0.5997  1 Si 1.62
7 O 0.5217 0.3123 0.5291  1 Si 1.66
8 O 0.5298 0.9878 0.3061  1 Si 1.62
9 O 0.0651 0.9852 0.1412  1 Si 1.64
10 O 0.9349 0.0148 0.6412  1 Si 1.64
11 O 0.4660 0.2554 0.0401  1 Si 1.66
12 O 0.5340 0.7446 0.5401  1 Si 1.66
13 O 0.4702 0.0122 0.8061  1 Si 1.62
14 O 0.9660 0.2446 0.8658  1 Si 1.66
15 O 0.0340 0.7554 0.3658  1 Si 1.66
16 O 0.5650 0.5148 0.7647  1 Si 1.64
17 Si 0.8114 0.0205 0.7967  4 O 1.62-1.66
18 Si 0.3114 0.4795 0.1091  4 O 1.62-1.66
19 Si 0.6886 0.5205 0.6091  4 O 1.62-1.66
20 Si 0.1886 0.9795 0.2967  4 O 1.62-1.66
21 Mn 0.2659 0.9965 0.9764  4 O 1.89-2.00
22 Mn 0.2341 0.4965 0.4295  4 O 1.89-2.00
23 Mn 0.7341 0.0035 0.4764  4 O 1.89-2.00
24 Mn 0.7659 0.5035 0.9295  4 O 1.89-2.00
25 Li 0.7498 0.7306 0.2040  6 O 2.05-2.21
26 Li 0.7502 0.2306 0.2018  6 O 2.05-2.21
27 Li 0.2502 0.2694 0.7040  6 O 2.05-2.21
28 Li 0.2498 0.7694 0.7018  6 O 2.05-2.21

***

No. 3
The following is a DFT calculation (PBEsol) of NaInS2O after structural relaxation.

- E_form (uncorrected) (eV per atom) = 0.98
- electronic total energy (eV per atom) = -2.70

Cell: 4.7400 4.7400 5.8817 Å, 90.00 90.00 90.00°
Closest atoms and distances in Å follow each position.
Positions (direct):
1 Na 0.0000 0.0000 0.0000  4 S 2.37
2 S 0.5000 0.0000 0.0000  2 Na 2.37
3 S 0.0000 0.5000 0.0000  2 Na 2.37
4 In 0.0000 0.0000 0.5000  2 Na 2.94
5 O 0.5000 0.5000 0.5000  4 In 3.35

***

No. 4
The following is a DFT calculation (PBEsol) of Li3VOF5 after structural relaxation.

- E_form (uncorrected) (eV per atom) = -2.76
- excess energy over the best structure of this formula in the dataset (eV/f.u.) = 0.78
- electronic total energy (eV per atom) = -5.80

Cell: 5.3874 5.3874 5.3874 Å, 108.53 108.24 111.66°
Closest atoms and distances in Å follow each position.
Positions (direct):
1 Li 0.8688 0.5865 0.2824  3 F 1.83-2.00
2 Li 0.3041 0.5865 0.7176  3 F 1.83-2.00
3 Li 0.6566 0.1566 0.5000  2 F 1.87
4 F 0.9473 0.2587 0.3114  1 V 1.98, 3 Li 2.00-2.12
5 F 0.9473 0.6358 0.6886  1 V 1.98, 3 Li 2.00-2.12
6 F 0.6303 0.9299 0.7004  2 Li 1.87-2.08, 1 V 1.93
7 F 0.2295 0.9299 0.2996  2 Li 1.87-2.08, 1 V 1.93
8 F 0.6577 0.6577 0.0000  2 Li 1.83, 1 V 2.01
9 V 0.9891 0.9891 0.0000  1 O 1.61
10 O 0.2548 0.2548 0.0000  1 V 1.61

***

No. 5
The following is a DFT calculation (PBEsol) of ScAg2Au after structural relaxation.

- excess energy over the best structure of this formula in the dataset (eV/f.u.) = 0.00
- electronic total energy (eV per atom) = -4.70
- energy of formation (kJ/mol of atoms) = -39

Cell: 4.1842 4.1842 4.9521 Å, 114.99 114.99 90.00°
Closest atoms and distances in Å follow each position.
Positions (direct):
1 Ag 0.2500 0.7500 0.5000  4 Au 2.88, 4 Ag 2.88, 4 Sc 2.96
2 Ag 0.0000 0.0000 0.0000  4 Ag 2.88, 4 Sc 2.88, 4 Au 2.96
3 Au 0.5000 0.5000 0.0000  8 Ag 2.88-2.96, 4 Sc 2.88
4 Sc 0.7500 0.2500 0.5000  8 Ag 2.88-2.96, 4 Au 2.88

***

No. 6
The following is a DFT calculation (PBEsol) of LaCo4W after structural relaxation.

- electronic total energy (eV per atom) = -8.05
- energy of formation (kJ/mol of atoms) = 29

Cell: 4.8373 4.8373 4.8373 Å, 60.00 60.00 60.00°
Closest atoms and distances in Å follow each position.
Positions (direct):
1 W 0.0000 0.0000 0.0000  12 Co 2.84, 4 La 2.96
2 Co 0.3745 0.8764 0.3745  6 Co 2.41-2.43
3 Co 0.3745 0.3745 0.3745  6 Co 2.41-2.43
4 Co 0.3745 0.3745 0.8764  6 Co 2.41-2.43
5 Co 0.8764 0.3745 0.3745  6 Co 2.41-2.43
6 La 0.7500 0.7500 0.7500  12 Co 2.84, 4 W 2.96

***

No. 7
The following is a DFT calculation (PBEsol) of Rb2BiB2 after structural relaxation.

- electronic total energy (eV per atom) = -3.13
- energy of formation (kJ/mol of atoms) = 91

Cell: 4.4443 4.4443 6.9186 Å, 108.73 108.73 90.00°
Closest atoms and distances in Å follow each position.
Positions (direct):
1 B 0.5640 0.5640 0.1279  1 B 1.58
2 B 0.4360 0.4360 0.8721  1 B 1.58
3 Rb 0.7500 0.2500 0.5000  4 Rb 3.14, 4 B 3.19
4 Rb 0.2500 0.7500 0.5000  4 Rb 3.14, 4 B 3.19
5 Bi 0.0000 0.0000 0.0000  8 B 3.24

***

No. 8
The following is a DFT calculation (PBEsol) of Si2TcTe after structural relaxation.

- E_form (uncorrected) (eV per atom) = 0.43
- electronic total energy (eV per atom) = -6.15

Cell: 3.4205 4.8481 4.9822 Å, 119.11 110.08 90.00°
Closest atoms and distances in Å follow each position.
Positions (direct):
1 Si 0.2588 0.7588 0.5176  2 Si 2.44, 2 Tc 2.48
2 Si 0.9756 0.9756 0.9512  2 Si 2.44, 2 Te 2.67
3 Te 0.7318 0.2318 0.4635  6 Si 2.67-2.97, 4 Tc 2.90-2.96
4 Tc 0.5338 0.5338 0.0676  2 Si 2.48

***

No. 9
The following is a DFT calculation (PBEsol) of KZnAu2 after structural relaxation.

- electronic total energy (eV per atom) = -2.55
- energy of formation (kJ/mol of atoms) = 8

Cell: 2.7970 5.3146 5.3146 Å, 90.47 90.00 90.00°
Closest atoms and distances in Å follow each position.
Positions (direct):
1 Au 0.0000 0.0000 0.5000  2 Au 2.80, 4 K 3.00, 4 Zn 3.00
2 Au 0.0000 0.5000 0.0000  2 Au 2.80, 4 Zn 3.00, 4 K 3.00
3 K 0.5000 0.0000 0.0000  2 K 2.80, 8 Au 3.00
4 Zn 0.5000 0.5000 0.5000  2 Zn 2.80, 8 Au 3.00

***

No. 10
The following is a DFT calculation (PBEsol) of LiFeF4 after structural relaxation.

- E_form (uncorrected) (eV per atom) = -2.40
- excess energy over the best structure of this formula in the dataset (eV/f.u.) = 0.00
- electronic total energy (eV per atom) = -5.51

Cell: 3.0410 4.6281 4.6281 Å, 92.84 90.00 90.00°
Closest atoms and distances in Å follow each position.
Positions (direct):
1 F 0.0000 0.7939 0.7939  1 Fe 1.88, 2 Li 2.01
2 F 0.5000 0.6920 0.3080  2 Fe 1.99, 1 Li 2.07
3 F 0.5000 0.3080 0.6920  2 Fe 1.99, 1 Li 2.07
4 F 0.0000 0.2061 0.2061  1 Fe 1.88, 2 Li 2.01
5 Fe 0.0000 0.5000 0.5000  6 F 1.88-1.99
6 Li 0.5000 0.0000 0.0000  6 F 2.01-2.07

***

No. 11
The following is a DFT calculation (PBEsol) of Ba2NbFeO6 after structural relaxation.

- E_form (uncorrected) (eV per atom) = -2.48
- electronic total energy (eV per atom) = -8.04

Cell: 5.7355 5.7355 5.7355 Å, 60.00 60.00 60.00°
Closest atoms and distances in Å follow each position.
Positions (direct):
1 O 0.7517 0.2483 0.7517  1 Nb 2.01, 1 Fe 2.04
2 O 0.2483 0.2483 0.7517  1 Nb 2.01, 1 Fe 2.04
3 O 0.7517 0.7517 0.2483  1 Nb 2.01, 1 Fe 2.04
4 O 0.7517 0.2483 0.2483  1 Nb 2.01, 1 Fe 2.04
5 O 0.2483 0.7517 0.7517  1 Nb 2.01, 1 Fe 2.04
6 O 0.2483 0.7517 0.2483  1 Nb 2.01, 1 Fe 2.04
7 Fe 0.5000 0.5000 0.5000  6 O 2.04
8 Ba 0.7500 0.7500 0.7500  12 O 2.87
9 Ba 0.2500 0.2500 0.2500  12 O 2.87
10 Nb 0.0000 0.0000 0.0000  6 O 2.01

***

No. 12
The following is a DFT calculation (PBEsol) of Zr2ScCu after structural relaxation.

- excess energy over the best structure of this formula in the dataset (eV/f.u.) = 1.01
- electronic total energy (eV per atom) = -7.13
- energy of formation (kJ/mol of atoms) = 15

Cell: 4.7518 4.7518 4.7518 Å, 60.00 60.00 60.00°
Closest atoms and distances in Å follow each position.
Positions (direct):
1 Sc 0.5000 0.5000 0.5000  8 Zr 2.91
2 Cu 0.0000 0.0000 0.0000  8 Zr 2.91
3 Zr 0.7500 0.7500 0.7500  4 Sc 2.91, 4 Cu 2.91
4 Zr 0.2500 0.2500 0.2500  4 Cu 2.91, 4 Sc 2.91

***

No. 13
The following is a DFT calculation (PBEsol) of MgTl2Cl after structural relaxation.

- E_form (uncorrected) (eV per atom) = -0.51
- excess energy over the best structure of this formula in the dataset (eV/f.u.) = 0.00
- electronic total energy (eV per atom) = -2.76

Cell: 3.2976 3.2976 9.3070 Å, 90.00 90.00 90.00°
Closest atoms and distances in Å follow each position.
Positions (direct):
1 Cl 0.0000 0.0000 0.5758  4 Mg 2.72
2 Tl 0.5000 0.5000 0.2347  8 Tl 3.30-3.43
3 Tl 0.0000 0.0000 0.9643  4 Mg 3.22, 8 Tl 3.30-3.43
4 Mg 0.5000 0.5000 0.7253  4 Cl 2.72

***

No. 14
The following is a DFT calculation (PBEsol) of CoTcMo after structural relaxation.

- excess energy over the best structure of this formula in the dataset (eV/f.u.) = 0.22
- electronic total energy (eV per atom) = -10.11
- energy of formation (kJ/mol of atoms) = 15

Cell: 2.5683 3.8074 4.6479 Å, 114.18 106.04 90.00°
Closest atoms and distances in Å follow each position.
Positions (direct):
1 Co 0.9959 0.9959 0.9918  2 Co 2.57, 5 Tc 2.61-2.80, 5 Mo 2.66-2.70
2 Mo 0.6621 0.6621 0.3243  2 Mo 2.57, 5 Tc 2.59-2.72, 5 Co 2.66-2.70
3 Tc 0.3420 0.3420 0.6839  2 Tc 2.57, 5 Mo 2.59-2.72, 5 Co 2.61-2.80

***

No. 15
The following is a DFT calculation (PBEsol) of MgTlOs2 after structural relaxation.

- electronic total energy (eV per atom) = -6.42
- energy of formation (kJ/mol of atoms) = 75

Cell: 3.9362 3.9362 5.0546 Å, 112.92 112.92 90.00°
Closest atoms and distances in Å follow each position.
Positions (direct):
1 Tl 0.5000 0.5000 0.0000  4 Mg 2.78, 8 Os 2.89
2 Os 0.7500 0.2500 0.5000  4 Os 2.78, 4 Tl 2.89, 4 Mg 2.89
3 Os 0.2500 0.7500 0.5000  4 Os 2.78, 4 Tl 2.89, 4 Mg 2.89
4 Mg 0.0000 0.0000 0.0000  4 Tl 2.78, 8 Os 2.89

***

No. 16
The following is a DFT calculation (PBEsol) of Lu2I2O after structural relaxation.

- E_form (uncorrected) (eV per atom) = -0.90
- electronic total energy (eV per atom) = -4.60

Cell: 3.9402 3.9402 13.7566 Å, 90.00 90.00 90.00°
Closest atoms and distances in Å follow each position.
Positions (direct):
1 I 0.5000 0.5000 0.3460  1 Lu 2.79
2 I 0.5000 0.5000 0.6540  1 Lu 2.79
3 Lu 0.5000 0.5000 0.8569  1 O 1.97
4 Lu 0.5000 0.5000 0.1431  1 O 1.97
5 O 0.5000 0.5000 0.0000  2 Lu 1.97

***

No. 17
The following is a DFT calculation (PBEsol) of ZrAg3 after structural relaxation.

- electronic total energy (eV per atom) = -4.75
- energy of formation (kJ/mol of atoms) = 1

Cell: 2.9231 2.9231 9.6256 Å, 90.00 90.00 120.00°
Closest atoms and distances in Å follow each position.
Positions (direct):
1 Ag 0.3333 0.6667 0.2417  9 Ag 2.87-2.92, 3 Zr 3.01
2 Ag 0.3333 0.6667 0.7583  9 Ag 2.87-2.92, 3 Zr 3.01
3 Ag 0.0000 0.0000 0.0000  12 Ag 2.87-2.92
4 Zr 0.0000 0.0000 0.5000  6 Zr 2.92, 6 Ag 3.01

***

No. 18
The following is a DFT calculation (PBEsol) of NiIrRh after structural relaxation.

- excess energy over the best structure of this formula in the dataset (eV/f.u.) = 0.09
- electronic total energy (eV per atom) = -8.01
- energy of formation (kJ/mol of atoms) = 3

Cell: 2.6662 2.6662 5.6947 Å, 103.54 103.54 90.00°
Closest atoms and distances in Å follow each position.
Positions (direct):
1 Ir 0.0043 0.0043 0.0086  4 Ni 2.56, 4 Rh 2.65, 4 Ir 2.67
2 Ni 0.6653 0.6653 0.3307  4 Ir 2.56, 4 Rh 2.59, 4 Ni 2.67
3 Rh 0.3304 0.3304 0.6608  4 Ni 2.59, 4 Ir 2.65, 4 Rh 2.67

***

No. 19
The following is a DFT calculation (PBEsol) of ZrCI2O after structural relaxation.

- E_form (uncorrected) (eV per atom) = 0.25
- electronic total energy (eV per atom) = -5.25

Cell: 3.9446 5.7197 5.7197 Å, 90.00 90.00 90.00°
Closest atoms and distances in Å follow each position.
Positions (direct):
1 Zr 0.0000 0.0000 0.0000  2 O 1.97
2 I 0.0000 0.0000 0.5000  2 Zr 2.86
3 I 0.0000 0.5000 0.0000  2 Zr 2.86
4 C 0.5000 0.5000 0.5000  8 I 3.47
5 O 0.5000 0.0000 0.0000  2 Zr 1.97

***

No. 20
The following is a DFT calculation (PBEsol) of PRuW2 after structural relaxation.

- electronic total energy (eV per atom) = -10.80
- energy of formation (kJ/mol of atoms) = 9

Cell: 2.8127 3.9624 5.0652 Å, 90.00 90.00 90.00°
Closest atoms and distances in Å follow each position.
Positions (direct):
1 P 0.5000 0.5000 0.0000  2 Ru 2.53, 8 W 2.73, 2 P 2.81
2 Ru 0.5000 0.5000 0.5000  2 P 2.53, 8 W 2.75, 2 Ru 2.81
3 W 0.0000 0.0000 0.2456  2 W 2.49-2.58, 4 P 2.73, 4 Ru 2.75
4 W 0.0000 0.0000 0.7544  2 W 2.49-2.58, 4 P 2.73, 4 Ru 2.75